Here is a relaxed structure of Cu2HgAu from Alexandria via LeMat-Bulk. Energies are from PBE-GGA.

The calculated total energy is -22.87 eV per cell. The formation enthalpy at 0 K comes out at 0.084 eV per atom.

The space group is Cm (No. 8) and the conventional cell measures 9.6817, 3.0600 and 4.5365 Å, with angles of 90.00, 107.75 and 90.00 degrees. Symmetry generates all atoms from Cu at (0.0000, 0.0000, 0.0000), Cu at (0.2117, 0.5000, 0.2903), Hg at (0.4671, 0.0000, 0.4789) and Au at (0.2489, 0.0000, 0.8208).



Here is a relaxed structure of CuHg2Au2 from Alexandria via LeMat-Bulk. Energies are from PBE-GGA.

The calculated total energy is -20.95 eV per cell. Its excess energy over the best structure of this formula in the dataset is 0.0 kJ/mol of atoms. The formation enthalpy at 0 K comes out at 0.156 eV per atom.

The space group is P4/mbm (No. 127) and the conventional cell measures 6.8930, 6.8930 and 4.2478 Å, with angles of 90.00, 90.00 and 90.00 degrees. Symmetry generates all atoms from Cu at (0.0000, 0.0000, 0.0000), Hg at (0.1626, 0.3374, 0.5000) and Au at (0.1475, 0.6475, 0.0000).



Here is a relaxed structure of CuHg2Au from Alexandria via LeMat-Bulk. Energies are from PBE-GGA.

The calculated total energy is -28.48 eV per cell. Its excess energy over the best structure of this formula in the dataset is 11.9 kJ/mol of atoms. The formation enthalpy at 0 K comes out at 0.214 eV per atom.

The space group is F-43m (No. 216) and the conventional cell measures 6.7171, 6.7171 and 6.7171 Å, with angles of 90.00, 90.00 and 90.00 degrees. Symmetry generates all atoms from Cu at (0.0000, 0.0000, 0.0000), Hg at (0.0000, 0.0000, 0.5000), Hg at (0.2500, 0.2500, 0.7500) and Au at (0.2500, 0.2500, 0.2500).



Here is a relaxed structure of Cu2Hg2Au from Alexandria via LeMat-Bulk. Energies are from PBE-GGA.

The calculated total energy is -22.74 eV per cell. Its excess energy over the best structure of this formula in the dataset is 0.0 kJ/mol of atoms. The formation enthalpy at 0 K comes out at 0.141 eV per atom.

The space group is P4/mbm (No. 127) and the conventional cell measures 6.8554, 6.8554 and 3.7933 Å, with angles of 90.00, 90.00 and 90.00 degrees. Symmetry generates all atoms from Cu at (0.1314, 0.3686, 0.0000), Hg at (0.1669, 0.6669, 0.5000) and Au at (0.0000, 0.0000, 0.0000).



Here is a relaxed structure of Cu2HgAu from Alexandria via LeMat-Bulk. Energies are from PBE-GGA.

The calculated total energy is -11.47 eV per cell. The formation enthalpy at 0 K comes out at 0.075 eV per atom.

The space group is P4mm (No. 99) and the conventional cell measures 3.1464, 3.1464 and 6.4941 Å, with angles of 90.00, 90.00 and 90.00 degrees. Symmetry generates all atoms from Cu at (0.0000, 0.0000, 0.0000), Cu at (0.5000, 0.5000, 0.1881), Hg at (0.0000, 0.0000, 0.4479) and Au at (0.5000, 0.5000, 0.7657).



Here is a relaxed structure of CuHg2Au from Alexandria via LeMat-Bulk. Energies are from PBE-GGA.

The calculated total energy is -14.50 eV per cell. Its excess energy over the best structure of this formula in the dataset is 8.8 kJ/mol of atoms. The formation enthalpy at 0 K comes out at 0.181 eV per atom.

The space group is Immm (No. 71) and the conventional cell measures 3.9618, 4.4000 and 8.6669 Å, with angles of 90.00, 90.00 and 90.00 degrees. Symmetry generates all atoms from Cu at (0.0000, 0.0000, 0.0000), Hg at (0.0000, 0.5000, 0.2643) and Au at (0.0000, 0.0000, 0.5000).



Repeat the fourth record exactly.
Here is a relaxed structure of Cu2Hg2Au from Alexandria via LeMat-Bulk. Energies are from PBE-GGA.

The calculated total energy is -22.74 eV per cell. Its excess energy over the best structure of this formula in the dataset is 0.0 kJ/mol of atoms. The formation enthalpy at 0 K comes out at 0.141 eV per atom.

The space group is P4/mbm (No. 127) and the conventional cell measures 6.8554, 6.8554 and 3.7933 Å, with angles of 90.00, 90.00 and 90.00 degrees. Symmetry generates all atoms from Cu at (0.1314, 0.3686, 0.0000), Hg at (0.1669, 0.6669, 0.5000) and Au at (0.0000, 0.0000, 0.0000).